{
  "formula": "UH8Rh6",
  "functional": "PBE-GGA",
  "state": "optimized geometry",
  "spacegroup": "No. 148",
  "magnetic_moment_mub_per_cell": 0.000,
  "crystal_system": "trigonal",
  "n_ef_per_ev_atom": 0.46,
  "energy_ev_per_atom": -5.55,
  "lattice": [[5.520, 0.000, 0.000], [2.760, 4.780, 0.000], [2.760, 1.593, 5.165]],
  "species": ["H", "H", "H", "H", "Rh", "U", "Rh", "Rh", "H", "Rh", "Rh", "Rh", "H", "H", "H"],
  "frac_coords": [[0.803, 0.649, 0.388], [0.839, 0.197, 0.612], [0.697, 0.697, 0.908], [0.161, 0.803, 0.388], [0.916, 0.334, 0.261], [0.000, 0.000, 0.000], [0.334, 0.489, 0.261], [0.084, 0.666, 0.739], [0.649, 0.161, 0.388], [0.511, 0.084, 0.739], [0.489, 0.916, 0.261], [0.666, 0.511, 0.739], [0.197, 0.351, 0.612], [0.303, 0.303, 0.092], [0.351, 0.839, 0.612]]
}

---

{
  "formula": "CaRe2Br",
  "functional": "PBE-GGA",
  "state": "optimized geometry",
  "spacegroup": "No. 216",
  "magnetic_moment_mub_per_cell": 0.276,
  "formation_energy_uncorrected_ev_per_atom": 1.031,
  "crystal_system": "cubic",
  "n_ef_per_ev_atom": 0.75,
  "e_above_lowest_polymorph_mev_per_atom": 977,
  "lattice": [[-4.108, -2.010, -1.128], [-0.617, -4.624, 0.652], [-2.881, -1.536, 3.395]],
  "species": ["Br", "Re", "Ca", "Re"],
  "frac_coords": [[0.500, 0.500, 0.500], [0.250, 0.250, 0.250], [0.750, 0.750, 0.750], [0.000, 0.000, 0.000]]
}

---

{
  "formula": "MgTaHg3",
  "functional": "PBE-GGA",
  "state": "optimized geometry",
  "spacegroup": "No. 221",
  "magnetic_moment_mub_per_cell": 0.000,
  "delta_e_f_ev_per_atom": 0.841,
  "crystal_system": "cubic",
  "n_ef_per_ev_atom": 1.79,
  "e_above_lowest_polymorph_mev_per_atom": 0,
  "lattice": [[5.391, 0.000, 0.000], [0.000, 5.391, 0.000], [0.000, 0.000, 5.391]],
  "species": ["Hg", "Hg", "Ta", "Hg", "Mg"],
  "frac_coords": [[0.000, 0.500, 0.000], [0.500, 0.000, 0.000], [0.000, 0.000, 0.000], [0.000, 0.000, 0.500], [0.500, 0.500, 0.500]]
}

---

{
  "formula": "ZrSnOs3",
  "functional": "PBE-GGA",
  "state": "optimized geometry",
  "spacegroup": "No. 221",
  "magnetic_moment_mub_per_cell": 0.599,
  "delta_e_f_ev_per_atom": 2.240,
  "crystal_system": "cubic",
  "n_ef_per_ev_atom": 1.47,
  "lattice": [[4.869, 0.000, 0.000], [0.000, 4.869, 0.000], [0.000, 0.000, 4.869]],
  "species": ["Os", "Sn", "Os", "Zr", "Os"],
  "frac_coords": [[0.000, 0.500, 0.000], [0.500, 0.500, 0.500], [0.500, 0.000, 0.000], [0.000, 0.000, 0.000], [0.000, 0.000, 0.500]]
}

---

{
  "formula": "Li2Ce2TmIn5",
  "functional": "PBE-GGA",
  "state": "optimized geometry",
  "spacegroup": "No. 127",
  "magnetic_moment_mub_per_cell": 4.015,
  "delta_e_f_ev_per_atom": -0.347,
  "crystal_system": "tetragonal",
  "n_ef_per_ev_atom": 1.72,
  "lattice": [[-1.126, 4.310, 0.707], [-9.533, -2.939, 2.738], [3.077, -0.811, 9.843]],
  "species": ["In", "In", "In", "Li", "Tm", "Ce", "In", "Tm", "Li", "Li", "Li", "In", "Ce", "In", "Ce", "In", "Ce", "In", "In", "In"],
  "frac_coords": [[0.500, 0.567, 0.711], [0.500, 0.500, 0.000], [0.500, 0.933, 0.211], [0.000, 0.884, 0.384], [0.000, 0.500, 0.500], [0.000, 0.821, 0.679], [0.500, 0.711, 0.433], [0.000, 0.000, 0.000], [0.000, 0.616, 0.884], [0.000, 0.116, 0.616], [0.000, 0.384, 0.116], [0.500, 0.067, 0.789], [0.000, 0.321, 0.821], [0.500, 0.211, 0.067], [0.000, 0.179, 0.321], [0.500, 0.289, 0.567], [0.000, 0.679, 0.179], [0.500, 0.789, 0.933], [0.500, 0.433, 0.289], [0.500, 0.000, 0.500]]
}

---

{
  "formula": "Nb2CrH",
  "functional": "PBE-GGA",
  "state": "optimized geometry",
  "spacegroup": "No. 166",
  "magnetic_moment_mub_per_cell": 0.000,
  "crystal_system": "trigonal",
  "n_ef_per_ev_atom": 0.69,
  "e_above_lowest_polymorph_mev_per_atom": 0,
  "lattice": [[3.041, 0.000, 0.000], [1.520, 2.633, 0.000], [1.520, 0.878, 7.359]],
  "species": ["Nb", "H", "Cr", "Nb"],
  "frac_coords": [[0.082, 0.082, 0.755], [0.000, 0.000, 0.000], [0.500, 0.500, 0.500], [0.918, 0.918, 0.245]]
}

---

{
  "formula": "MnCuSi",
  "functional": "PBE-GGA",
  "state": "optimized geometry",
  "spacegroup": "No. 107",
  "magnetic_moment_mub_per_cell": 2.541,
  "formation_energy_uncorrected_ev_per_atom": 0.025,
  "crystal_system": "tetragonal",
  "n_ef_per_ev_atom": 0.67,
  "lattice": [[5.648, 0.022, -0.023], [5.031, 2.568, 0.006], [0.617, 0.123, 2.543]],
  "species": ["Mn", "Si", "Cu"],
  "frac_coords": [[0.325, 0.325, 0.675], [0.670, 0.670, 0.330], [0.005, 0.005, 0.995]]
}

---

{
  "formula": "CrPbC3",
  "functional": "PBE-GGA",
  "state": "optimized geometry",
  "spacegroup": "No. 221",
  "magnetic_moment_mub_per_cell": 0.838,
  "delta_e_f_ev_per_atom": 3.841,
  "crystal_system": "cubic",
  "n_ef_per_ev_atom": 1.59,
  "e_above_lowest_polymorph_mev_per_atom": 2164,
  "lattice": [[-1.184, 2.127, -3.602], [-1.850, -3.624, -1.532], [-3.752, 1.115, 1.892]],
  "species": ["Pb", "C", "C", "Cr", "C"],
  "frac_coords": [[0.000, 0.000, 0.000], [0.000, 0.500, 0.000], [0.000, 0.000, 0.500], [0.500, 0.500, 0.500], [0.500, 0.000, 0.000]]
}